Below is crystalline InGe2I2 at its relaxed geometry, with properties calculated at the GGA-PBE level.

a b c (Å): 7.4487 7.4487 5.6547
angles (deg): 90.00 90.00 90.00
Fractional coordinates of all 10 atoms:
I: 0.3069 0.8069 0.5000
I: 0.8069 0.6931 0.5000
I: 0.6931 0.1931 0.5000
I: 0.1931 0.3069 0.5000
Ge: 0.3730 0.8730 0.0000
Ge: 0.8730 0.6270 0.0000
Ge: 0.6270 0.1270 0.0000
Ge: 0.1270 0.3730 0.0000
In: 0.0000 0.0000 0.0000
In: 0.5000 0.5000 0.0000

Results
Excess energy over the best structure of this formula in the dataset (meV per atom): 0
Crystal system: tetragonal
E_form (uncorrected) (meV/atom): 64
Symmetry: P4/mbm